No. 1
A relaxed structure of CsSrCl3. Source: Alexandria, functional GGA-PBE.

Computed properties:
Space-group type: P6_3/mmc
Mass density, g/cm3: 2.6
DOS at the Fermi energy, states/eV/atom: 0.00
Energy relative to the elements, uncorrected, meV/atom: -2206

a = 5.1318 Å, b = 5.1318 Å, c = 18.5552 Å
α = 90.00°, β = 90.00°, γ = 120.00°
With the nearest neighbours (Å) after each atom.
Fractional coordinates of all 10 atoms:
Cs 0.0000 0.0000 0.0000  6 Cl 3.50
Cs 0.0000 0.0000 0.5000  6 Cl 3.50
Sr 0.3333 0.6667 0.2500  5 Cl 2.78-2.96
Sr 0.6667 0.3333 0.7500  5 Cl 2.78-2.96
Cl 0.0000 0.0000 0.2500  3 Sr 2.96
Cl 0.0000 0.0000 0.7500  3 Sr 2.96
Cl 0.3333 0.6667 0.1001  1 Sr 2.78
Cl 0.3333 0.6667 0.3999  1 Sr 2.78
Cl 0.6667 0.3333 0.6001  1 Sr 2.78
Cl 0.6667 0.3333 0.8999  1 Sr 2.78



No. 2
A relaxed structure of Cs2SrCl4. Source: Alexandria, functional GGA-PBE.

Computed properties:
Space-group type: Pbam
Mass density, g/cm3: 3.0
DOS at the Fermi energy, states/eV/atom: 0.00
Energy relative to the elements, uncorrected, meV/atom: -2205

a = 8.5373 Å, b = 14.0823 Å, c = 4.6295 Å
α = 90.00°, β = 90.00°, γ = 90.00°
With the nearest neighbours (Å) after each atom.
Fractional coordinates of all 14 atoms:
Cs 0.0694 0.1782 0.0000  6 Cl 3.44-3.70
Cs 0.4306 0.6782 0.0000  6 Cl 3.44-3.70
Cs 0.5694 0.3218 0.0000  6 Cl 3.44-3.70
Cs 0.9306 0.8218 0.0000  6 Cl 3.44-3.70
Sr 0.0000 0.5000 0.5000  6 Cl 2.87-3.00
Sr 0.5000 0.0000 0.5000  6 Cl 2.87-3.00
Cl 0.1321 0.6876 0.5000  1 Sr 2.87
Cl 0.2086 0.4526 0.0000  2 Sr 3.00
Cl 0.2914 0.9526 0.0000  2 Sr 3.00
Cl 0.3679 0.1876 0.5000  1 Sr 2.87
Cl 0.6321 0.8124 0.5000  1 Sr 2.87
Cl 0.7086 0.0474 0.0000  2 Sr 3.00
Cl 0.7914 0.5474 0.0000  2 Sr 3.00
Cl 0.8679 0.3124 0.5000  1 Sr 2.87



No. 3
A relaxed structure of CsSrCl3. Source: Alexandria, functional GGA-PBE.

Computed properties:
Space-group type: C2/c
Mass density, g/cm3: 2.8
DOS at the Fermi energy, states/eV/atom: 0.00
Energy relative to the elements, uncorrected, meV/atom: -2263

a = 10.1690 Å, b = 10.1690 Å, c = 7.6062 Å
α = 91.38°, β = 91.38°, γ = 95.13°
With the nearest neighbours (Å) after each atom.
Fractional coordinates of all 20 atoms:
Cs 0.0751 0.2539 0.1376  6 Cl 3.44-3.70
Cs 0.2539 0.0751 0.6376  6 Cl 3.44-3.70
Cs 0.7461 0.9249 0.3624  6 Cl 3.44-3.70
Cs 0.9249 0.7461 0.8624  6 Cl 3.44-3.70
Sr 0.2697 0.7303 0.2500  6 Cl 2.85-3.05
Sr 0.4248 0.5752 0.7500  6 Cl 2.87-2.97
Sr 0.5752 0.4248 0.2500  6 Cl 2.87-2.97
Sr 0.7303 0.2697 0.7500  6 Cl 2.85-3.05
Cl 0.0461 0.7880 0.4462  1 Sr 2.85
Cl 0.1864 0.5614 0.9453  2 Sr 2.87-2.91
Cl 0.2120 0.9539 0.0538  1 Sr 2.85
Cl 0.3176 0.4653 0.4092  3 Sr 2.94-3.05
Cl 0.4386 0.8136 0.5547  2 Sr 2.87-2.91
Cl 0.4653 0.3176 0.9092  3 Sr 2.94-3.05
Cl 0.5347 0.6824 0.0908  3 Sr 2.94-3.05
Cl 0.5614 0.1864 0.4453  2 Sr 2.87-2.91
Cl 0.6824 0.5347 0.5908  3 Sr 2.94-3.05
Cl 0.7880 0.0461 0.9462  1 Sr 2.85
Cl 0.8136 0.4386 0.0547  2 Sr 2.87-2.91
Cl 0.9539 0.2120 0.5538  1 Sr 2.85



No. 4
A relaxed structure of CsSrTa6Cl18. Source: Alexandria, functional GGA-PBE.

Computed properties:
Space-group type: P-31c
Mass density, g/cm3: 4.6
DOS at the Fermi energy, states/eV/atom: 0.24
Energy relative to the elements, uncorrected, meV/atom: -1493

a = 9.5498 Å, b = 9.5498 Å, c = 17.6476 Å
α = 90.00°, β = 90.00°, γ = 120.00°
With the nearest neighbours (Å) after each atom.
Fractional coordinates of all 52 atoms:
Cs 0.3333 0.6667 0.2500  12 Cl 3.81-4.07
Cs 0.6667 0.3333 0.7500  12 Cl 3.81-4.07
Sr 0.3333 0.6667 0.7500  6 Cl 2.97
Sr 0.6667 0.3333 0.2500  6 Cl 2.97
Ta 0.0297 0.1908 0.5680  5 Cl 2.45-2.62
Ta 0.0297 0.8389 0.9320  5 Cl 2.45-2.62
Ta 0.1611 0.1908 0.9320  5 Cl 2.45-2.62
Ta 0.1611 0.9703 0.5680  5 Cl 2.45-2.62
Ta 0.1908 0.0297 0.0680  5 Cl 2.45-2.62
Ta 0.1908 0.1611 0.4320  5 Cl 2.45-2.62
Ta 0.8092 0.8389 0.5680  5 Cl 2.45-2.62
Ta 0.8092 0.9703 0.9320  5 Cl 2.45-2.62
Ta 0.8389 0.0297 0.4320  5 Cl 2.45-2.62
Ta 0.8389 0.8092 0.0680  5 Cl 2.45-2.62
Ta 0.9703 0.1611 0.0680  5 Cl 2.45-2.62
Ta 0.9703 0.8092 0.4320  5 Cl 2.45-2.62
Cl 0.0343 0.2231 0.3412  2 Ta 2.45-2.46
Cl 0.0343 0.8112 0.1588  2 Ta 2.45-2.46
Cl 0.0623 0.4268 0.6554  1 Ta 2.62
Cl 0.0623 0.6355 0.8446  1 Ta 2.62
Cl 0.1537 0.4113 0.0001  2 Ta 2.45-2.46
Cl 0.1537 0.7424 0.4999  2 Ta 2.45-2.46
Cl 0.1888 0.2231 0.1588  2 Ta 2.45-2.46
Cl 0.1888 0.9657 0.3412  2 Ta 2.45-2.46
Cl 0.2231 0.0343 0.8412  2 Ta 2.45-2.46
Cl 0.2231 0.1888 0.6588  2 Ta 2.45-2.46
Cl 0.2576 0.4113 0.4999  2 Ta 2.45-2.46
Cl 0.2576 0.8463 0.0001  2 Ta 2.45-2.46
Cl 0.3645 0.4268 0.8446  1 Ta 2.62
Cl 0.3645 0.9377 0.6554  1 Ta 2.62
Cl 0.4113 0.1537 0.5001  2 Ta 2.45-2.46
Cl 0.4113 0.2576 0.9999  2 Ta 2.45-2.46
Cl 0.4268 0.0623 0.1554  1 Ta 2.62
Cl 0.4268 0.3645 0.3446  1 Ta 2.62
Cl 0.5732 0.6355 0.6554  1 Ta 2.62
Cl 0.5732 0.9377 0.8446  1 Ta 2.62
Cl 0.5887 0.7424 0.0001  2 Ta 2.45-2.46
Cl 0.5887 0.8463 0.4999  2 Ta 2.45-2.46
Cl 0.6355 0.0623 0.3446  1 Ta 2.62
Cl 0.6355 0.5732 0.1554  1 Ta 2.62
Cl 0.7424 0.1537 0.9999  2 Ta 2.45-2.46
Cl 0.7424 0.5887 0.5001  2 Ta 2.45-2.46
Cl 0.7769 0.8112 0.3412  2 Ta 2.45-2.46
Cl 0.7769 0.9657 0.1588  2 Ta 2.45-2.46
Cl 0.8112 0.0343 0.6588  2 Ta 2.45-2.46
Cl 0.8112 0.7769 0.8412  2 Ta 2.45-2.46
Cl 0.8463 0.2576 0.5001  2 Ta 2.45-2.46
Cl 0.8463 0.5887 0.9999  2 Ta 2.45-2.46
Cl 0.9377 0.3645 0.1554  1 Ta 2.62
Cl 0.9377 0.5732 0.3446  1 Ta 2.62
Cl 0.9657 0.1888 0.8412  2 Ta 2.45-2.46
Cl 0.9657 0.7769 0.6588  2 Ta 2.45-2.46



No. 5
A relaxed structure of CsSr2TbCl8. Source: Alexandria, functional GGA-PBE.

Computed properties:
Space-group type: P-1
Mass density, g/cm3: 2.9
DOS at the Fermi energy, states/eV/atom: 0.00
Energy relative to the elements, uncorrected, meV/atom: -2304

a = 6.6662 Å, b = 6.8180 Å, c = 9.3050 Å
α = 89.98°, β = 89.95°, γ = 89.51°
With the nearest neighbours (Å) after each atom.
Fractional coordinates of all 12 atoms:
Cs 0.0000 0.0000 0.0000  6 Cl 3.27-3.38
Sr 0.5000 0.5000 0.2510  6 Cl 2.88-3.10
Sr 0.5000 0.5000 0.7490  6 Cl 2.88-3.10
Tb 0.0000 0.0000 0.5000  6 Cl 2.65-2.75
Cl 0.2301 0.8340 0.6989  1 Tb 2.65, 1 Sr 2.93
Cl 0.2306 0.8345 0.3009  1 Tb 2.65, 1 Sr 2.93
Cl 0.2580 0.3130 0.5001  1 Tb 2.75
Cl 0.2709 0.3983 0.0002  2 Sr 2.88
Cl 0.7291 0.6017 0.9998  2 Sr 2.88
Cl 0.7420 0.6870 0.4999  1 Tb 2.75
Cl 0.7694 0.1655 0.6991  1 Tb 2.65, 1 Sr 2.93
Cl 0.7699 0.1660 0.3011  1 Tb 2.65, 1 Sr 2.93



No. 6
A relaxed structure of CsSrTbCl6. Source: Alexandria, functional GGA-PBE.

Computed properties:
Space-group type: P312
Mass density, g/cm3: 2.7
DOS at the Fermi energy, states/eV/atom: 0.00
Energy relative to the elements, uncorrected, meV/atom: -2327

a = 7.4208 Å, b = 7.4208 Å, c = 7.4988 Å
α = 90.00°, β = 90.00°, γ = 120.00°
With the nearest neighbours (Å) after each atom.
Fractional coordinates of all 9 atoms:
Cs 0.0000 0.0000 0.0000  6 Cl 3.57
Sr 0.3333 0.6667 0.5000  6 Cl 2.91
Tb 0.6667 0.3333 0.5000  6 Cl 2.68
Cl 0.3890 0.0239 0.7053  1 Tb 2.68, 1 Sr 2.91
Cl 0.3890 0.3650 0.2947  1 Tb 2.68, 1 Sr 2.91
Cl 0.6350 0.0239 0.2947  1 Tb 2.68, 1 Sr 2.91
Cl 0.6350 0.6110 0.7053  1 Tb 2.68, 1 Sr 2.91
Cl 0.9761 0.3650 0.7053  1 Tb 2.68, 1 Sr 2.91
Cl 0.9761 0.6110 0.2947  1 Tb 2.68, 1 Sr 2.91



No. 7
A relaxed structure of CsSrTiCl6. Source: Alexandria, functional GGA-PBE.

Computed properties:
Space-group type: P312
Mass density, g/cm3: 2.4
DOS at the Fermi energy, states/eV/atom: 0.76
Energy relative to the elements, uncorrected, meV/atom: -1979

a = 7.1078 Å, b = 7.1078 Å, c = 7.5655 Å
α = 90.00°, β = 90.00°, γ = 120.00°
With the nearest neighbours (Å) after each atom.
Fractional coordinates of all 9 atoms:
Cs 0.0000 0.0000 0.0000  6 Cl 3.53
Sr 0.3333 0.6667 0.5000  6 Cl 2.90
Ti 0.6667 0.3333 0.5000  6 Cl 2.45
Cl 0.3935 0.0477 0.6902  1 Ti 2.45
Cl 0.3935 0.3458 0.3098  1 Ti 2.45
Cl 0.6542 0.0477 0.3098  1 Ti 2.45
Cl 0.6542 0.6065 0.6902  1 Ti 2.45
Cl 0.9523 0.3458 0.6902  1 Ti 2.45
Cl 0.9523 0.6065 0.3098  1 Ti 2.45



No. 8
A relaxed structure of Cs2SrTlCl5. Source: Alexandria, functional GGA-PBE.

Computed properties:
Space-group type: P4/mmm
Mass density, g/cm3: 3.3
DOS at the Fermi energy, states/eV/atom: 0.00
Energy relative to the elements, uncorrected, meV/atom: -1895

a = 5.5807 Å, b = 5.5807 Å, c = 11.9620 Å
α = 90.00°, β = 90.00°, γ = 90.00°
With the nearest neighbours (Å) after each atom.
Fractional coordinates of all 9 atoms:
Cs 0.0000 0.0000 0.2197  1 Cl 3.35
Cs 0.0000 0.0000 0.7803  1 Cl 3.35
Sr 0.5000 0.5000 0.0000  6 Cl 2.79-2.91
Tl 0.5000 0.5000 0.5000  2 Cl 3.07
Cl 0.0000 0.0000 0.5000  2 Cs 3.35
Cl 0.0000 0.5000 0.0000  2 Sr 2.79
Cl 0.5000 0.0000 0.0000  2 Sr 2.79
Cl 0.5000 0.5000 0.2431  1 Sr 2.91, 1 Tl 3.07
Cl 0.5000 0.5000 0.7569  1 Sr 2.91, 1 Tl 3.07



No. 9
A relaxed structure of CsSrTl2Cl8. Source: Alexandria, functional GGA-PBE.

Computed properties:
Space-group type: P-3
Mass density, g/cm3: 3.4
DOS at the Fermi energy, states/eV/atom: 0.62
Energy relative to the elements, uncorrected, meV/atom: -1295

a = 7.0659 Å, b = 7.0659 Å, c = 10.2972 Å
α = 90.00°, β = 90.00°, γ = 120.00°
With the nearest neighbours (Å) after each atom.
Fractional coordinates of all 12 atoms:
Cs 0.0000 0.0000 0.0000  12 Cl 3.99-4.08
Sr 0.0000 0.0000 0.5000  6 Cl 2.91
Tl 0.3333 0.6667 0.7517  4 Cl 2.52-2.61
Tl 0.6667 0.3333 0.2483  4 Cl 2.52-2.61
Cl 0.0177 0.6906 0.3202  1 Tl 2.61, 1 Sr 2.91
Cl 0.3094 0.3270 0.3202  1 Tl 2.61, 1 Sr 2.91
Cl 0.3270 0.0177 0.6798  1 Tl 2.61, 1 Sr 2.91
Cl 0.3333 0.6667 0.9966  1 Tl 2.52
Cl 0.6667 0.3333 0.0034  1 Tl 2.52
Cl 0.6730 0.9823 0.3202  1 Tl 2.61, 1 Sr 2.91
Cl 0.6906 0.6730 0.6798  1 Tl 2.61, 1 Sr 2.91
Cl 0.9823 0.3094 0.6798  1 Tl 2.61, 1 Sr 2.91



No. 10
A relaxed structure of CsSrTl2Cl5. Source: Alexandria, functional GGA-PBE.

Computed properties:
Space-group type: Immm
Mass density, g/cm3: 3.9
DOS at the Fermi energy, states/eV/atom: 0.00
Energy relative to the elements, uncorrected, meV/atom: -1690

a = 9.1637 Å, b = 9.1637 Å, c = 9.1637 Å
α = 144.61°, β = 129.09°, γ = 63.53°
With the nearest neighbours (Å) after each atom.
Fractional coordinates of all 9 atoms:
Cs 0.0000 0.0000 0.0000  10 Cl 3.94-3.99
Sr 0.5000 0.5000 0.0000  6 Cl 2.79-2.88
Tl 0.2849 0.7849 0.5000  3 Cl 3.06-3.35
Tl 0.7151 0.2151 0.5000  3 Cl 3.06-3.35
Cl 0.1138 0.3661 0.7477  1 Sr 2.88, 1 Tl 3.06
Cl 0.3816 0.6339 0.7477  1 Sr 2.88, 1 Tl 3.06
Cl 0.5000 0.0000 0.5000  2 Sr 2.79
Cl 0.6184 0.3661 0.2523  1 Sr 2.88, 1 Tl 3.06
Cl 0.8862 0.6339 0.2523  1 Sr 2.88, 1 Tl 3.06



No. 11
A relaxed structure of CsSr2TmCl8. Source: Alexandria, functional GGA-PBE.

Computed properties:
Space-group type: P-1
Mass density, g/cm3: 3.0
DOS at the Fermi energy, states/eV/atom: 0.00
Energy relative to the elements, uncorrected, meV/atom: -2301

a = 6.6248 Å, b = 6.7632 Å, c = 9.2868 Å
α = 89.98°, β = 89.95°, γ = 89.47°
With the nearest neighbours (Å) after each atom.
Fractional coordinates of all 12 atoms:
Cs 0.0000 0.0000 0.0000  6 Cl 3.27-3.38
Sr 0.4999 0.5000 0.2522  6 Cl 2.88-3.11
Sr 0.5001 0.5000 0.7478  6 Cl 2.88-3.11
Tm 0.0000 0.0000 0.5000  6 Cl 2.60-2.70
Cl 0.2263 0.8350 0.6958  1 Tm 2.60
Cl 0.2269 0.8357 0.3039  1 Tm 2.60
Cl 0.2547 0.3094 0.5002  1 Tm 2.70
Cl 0.2688 0.4023 0.0002  2 Sr 2.88
Cl 0.7312 0.5977 0.9998  2 Sr 2.88
Cl 0.7453 0.6906 0.4998  1 Tm 2.70
Cl 0.7731 0.1643 0.6961  1 Tm 2.60
Cl 0.7737 0.1650 0.3042  1 Tm 2.60



No. 12
A relaxed structure of CsSrUCl6. Source: Alexandria, functional GGA-PBE.

Computed properties:
Space-group type: P-31c
Mass density, g/cm3: 3.0
Energy relative to the elements, uncorrected, meV/atom: -2042

a = 7.5623 Å, b = 7.5623 Å, c = 14.8308 Å
α = 90.00°, β = 90.00°, γ = 120.00°
With the nearest neighbours (Å) after each atom.
Fractional coordinates of all 18 atoms:
Cs 0.0000 0.0000 0.0000  6 Cl 3.57
Cs 0.0000 0.0000 0.5000  6 Cl 3.57
Sr 0.3333 0.6667 0.2500  6 Cl 2.91
Sr 0.6667 0.3333 0.7500  6 Cl 2.91
U 0.3333 0.6667 0.7500  6 Cl 2.77
U 0.6667 0.3333 0.2500  6 Cl 2.77
Cl 0.0143 0.3859 0.6441  1 U 2.77, 1 Sr 2.91
Cl 0.0143 0.6284 0.8559  1 U 2.77, 1 Sr 2.91
Cl 0.3716 0.3859 0.8559  1 U 2.77, 1 Sr 2.91
Cl 0.3716 0.9857 0.6441  1 U 2.77, 1 Sr 2.91
Cl 0.3859 0.0143 0.1441  1 U 2.77, 1 Sr 2.91
Cl 0.3859 0.3716 0.3559  1 U 2.77, 1 Sr 2.91
Cl 0.6141 0.6284 0.6441  1 U 2.77, 1 Sr 2.91
Cl 0.6141 0.9857 0.8559  1 U 2.77, 1 Sr 2.91
Cl 0.6284 0.0143 0.3559  1 U 2.77, 1 Sr 2.91
Cl 0.6284 0.6141 0.1441  1 U 2.77, 1 Sr 2.91
Cl 0.9857 0.3716 0.1441  1 U 2.77, 1 Sr 2.91
Cl 0.9857 0.6141 0.3559  1 U 2.77, 1 Sr 2.91



The highest energy relative to the elements, uncorrected belongs to which entry? CsSrTl2Cl8



Which value of energy relative to the elements, uncorrected does entry 1 give? -2206 meV/atom



Copy entry 12 word for word.
A relaxed structure of CsSrUCl6. Source: Alexandria, functional GGA-PBE.

Computed properties:
Space-group type: P-31c
Mass density, g/cm3: 3.0
Energy relative to the elements, uncorrected, meV/atom: -2042

a = 7.5623 Å, b = 7.5623 Å, c = 14.8308 Å
α = 90.00°, β = 90.00°, γ = 120.00°
With the nearest neighbours (Å) after each atom.
Fractional coordinates of all 18 atoms:
Cs 0.0000 0.0000 0.0000  6 Cl 3.57
Cs 0.0000 0.0000 0.5000  6 Cl 3.57
Sr 0.3333 0.6667 0.2500  6 Cl 2.91
Sr 0.6667 0.3333 0.7500  6 Cl 2.91
U 0.3333 0.6667 0.7500  6 Cl 2.77
U 0.6667 0.3333 0.2500  6 Cl 2.77
Cl 0.0143 0.3859 0.6441  1 U 2.77, 1 Sr 2.91
Cl 0.0143 0.6284 0.8559  1 U 2.77, 1 Sr 2.91
Cl 0.3716 0.3859 0.8559  1 U 2.77, 1 Sr 2.91
Cl 0.3716 0.9857 0.6441  1 U 2.77, 1 Sr 2.91
Cl 0.3859 0.0143 0.1441  1 U 2.77, 1 Sr 2.91
Cl 0.3859 0.3716 0.3559  1 U 2.77, 1 Sr 2.91
Cl 0.6141 0.6284 0.6441  1 U 2.77, 1 Sr 2.91
Cl 0.6141 0.9857 0.8559  1 U 2.77, 1 Sr 2.91
Cl 0.6284 0.0143 0.3559  1 U 2.77, 1 Sr 2.91
Cl 0.6284 0.6141 0.1441  1 U 2.77, 1 Sr 2.91
Cl 0.9857 0.3716 0.1441  1 U 2.77, 1 Sr 2.91
Cl 0.9857 0.6141 0.3559  1 U 2.77, 1 Sr 2.91



Which formula does entry 1 have? CsSrCl3